i.
Density functional theory data (PBE) for crystalline Er2ThBi at its relaxed geometry.

Values from the calculation:
Magnetic moment   0.000 μB/cell
ρ   10529 kg/m3

Cell and atoms, written as CIF:
```
data_Er2ThBi
_chemical_formula_sum 'Er6 Th3 Bi3'
_cell_length_a 3.5983
_cell_length_b 3.5983
_cell_length_c 32.7258
_cell_angle_alpha 90.00
_cell_angle_beta 90.00
_cell_angle_gamma 120.00
_space_group_name_H-M_alt 'R 3 m'
_space_group_IT_number 160
_space_group_name_Hall 'R 3 -2"'
loop_
_atom_site_label
_atom_site_type_symbol
_atom_site_fract_x
_atom_site_fract_y
_atom_site_fract_z
Er1 Er 0.0000 0.0000 0.0000
Er2 Er 0.0000 0.0000 0.1750
Th1 Th 0.0000 0.0000 0.4206
Bi1 Bi 0.0000 0.0000 0.5874
```

***

ii.
Density functional theory data (PBE) for crystalline Er2ThBi at its relaxed geometry.

Values from the calculation:
Magnetic moment   0.000 μB/cell
ρ   10985 kg/m3

Cell and atoms, written as CIF:
```
data_Er2ThBi
_chemical_formula_sum 'Er2 Th1 Bi1'
_cell_length_a 3.955
_cell_length_b 3.955
_cell_length_c 7.495
_cell_angle_alpha 90.00
_cell_angle_beta 90.00
_cell_angle_gamma 90.00
_space_group_name_H-M_alt 'P 4/m m m'
_space_group_IT_number 123
_space_group_name_Hall '-P 4 2'
loop_
_atom_site_label
_atom_site_type_symbol
_atom_site_fract_x
_atom_site_fract_y
_atom_site_fract_z
Er1 Er 0.000 0.000 0.226
Th1 Th 0.500 0.500 0.500
Bi1 Bi 0.500 0.500 0.000
```

***

Energies relative to the most stable structure, in eV/atom: i 0.191; ii 0.000.

***

i.
Density functional theory data (PBE) for crystalline Er5Tl2Bi2 at its relaxed geometry.

Values from the calculation:
Magnetic moment   0.005 μB/cell
ρ   10575 kg/m3

Cell and atoms, written as CIF:
```
data_Er5Tl2Bi2
_chemical_formula_sum 'Er20 Tl8 Bi8'
_cell_length_a 15.669
_cell_length_b 8.162
_cell_length_c 8.167
_cell_angle_alpha 90.00
_cell_angle_beta 90.00
_cell_angle_gamma 90.00
_space_group_name_H-M_alt 'C m c e'
_space_group_IT_number 64
_space_group_name_Hall '-C 2ac 2'
loop_
_atom_site_label
_atom_site_type_symbol
_atom_site_fract_x
_atom_site_fract_y
_atom_site_fract_z
Er1 Er 0.000 0.000 0.000
Er2 Er 0.133 0.167 0.335
Tl1 Tl 0.000 0.135 0.634
Bi1 Bi 0.205 0.000 0.000
```

***

ii.
Density functional theory data (PBE) for crystalline Er5Tl2Bi2 at its relaxed geometry.

Values from the calculation:
Magnetic moment   0.000 μB/cell
ρ   10549 kg/m3

Cell and atoms, written as CIF:
```
data_Er5Tl2Bi2
_chemical_formula_sum 'Er10 Tl4 Bi4'
_cell_length_a 6.347
_cell_length_b 8.325
_cell_length_c 10.888
_cell_angle_alpha 107.12
_cell_angle_beta 106.94
_cell_angle_gamma 90.04
_space_group_name_H-M_alt 'P 1'
_space_group_IT_number 1
_space_group_name_Hall 'P 1'
loop_
_atom_site_label
_atom_site_type_symbol
_atom_site_fract_x
_atom_site_fract_y
_atom_site_fract_z
Er1 Er 0.000 0.000 0.000
Er2 Er 0.026 0.567 0.465
Er3 Er 0.120 0.813 0.262
Er4 Er 0.227 0.500 0.000
Er5 Er 0.313 0.340 0.690
Er6 Er 0.369 0.312 0.262
Er7 Er 0.525 0.903 0.089
Er8 Er 0.604 0.839 0.690
Er9 Er 0.666 0.066 0.465
Er10 Er 0.792 0.402 0.089
Tl1 Tl 0.157 0.961 0.564
Tl2 Tl 0.419 0.134 0.907
Tl3 Tl 0.636 0.461 0.565
Tl4 Tl 0.716 0.634 0.908
Bi1 Bi 0.135 0.721 0.780
Bi2 Bi 0.601 0.678 0.289
Bi3 Bi 0.872 0.221 0.780
Bi4 Bi 0.915 0.179 0.290
```

***

Energies relative to the most stable structure, in eV/atom: i 0.000; ii 0.212.

***

i.
Density functional theory data (PBE) for crystalline ErTm3Bi2 at its relaxed geometry.

Values from the calculation:
Magnetic moment   0.000 μB/cell
ρ   10480 kg/m3

Cell and atoms, written as CIF:
```
data_ErTm3Bi2
_chemical_formula_sum 'Er1 Tm3 Bi2'
_cell_length_a 4.521
_cell_length_b 4.521
_cell_length_c 8.464
_cell_angle_alpha 90.00
_cell_angle_beta 90.00
_cell_angle_gamma 90.00
_space_group_name_H-M_alt 'P -4 m 2'
_space_group_IT_number 115
_space_group_name_Hall 'P -4 -2'
loop_
_atom_site_label
_atom_site_type_symbol
_atom_site_fract_x
_atom_site_fract_y
_atom_site_fract_z
Er1 Er 0.000 0.000 0.000
Tm1 Tm 0.000 0.500 0.340
Tm2 Tm 0.500 0.500 0.000
Bi1 Bi 0.000 0.500 0.712
```

***

ii.
Density functional theory data (PBE) for crystalline ErTm3Bi2 at its relaxed geometry.

Values from the calculation:
Magnetic moment   0.000 μB/cell
ρ   10187 kg/m3

Cell and atoms, written as CIF:
```
data_ErTm3Bi2
_chemical_formula_sum 'Er4 Tm12 Bi8'
_cell_length_a 18.296
_cell_length_b 4.259
_cell_length_c 9.960
_cell_angle_alpha 90.00
_cell_angle_beta 113.44
_cell_angle_gamma 90.00
_space_group_name_H-M_alt 'C 1 2/m 1'
_space_group_IT_number 12
_space_group_name_Hall '-C 2y'
loop_
_atom_site_label
_atom_site_type_symbol
_atom_site_fract_x
_atom_site_fract_y
_atom_site_fract_z
Er1 Er 0.110 0.000 0.104
Tm1 Tm 0.055 0.000 0.669
Tm2 Tm 0.138 0.500 0.481
Tm3 Tm 0.188 0.500 0.890
Bi1 Bi 0.007 0.500 0.841
Bi2 Bi 0.247 0.500 0.284
```

***

Energies relative to the most stable structure, in eV/atom: i 0.000; ii 0.107.